(1)
{
  "formula": "RbIn2CuAg",
  "functional": "PBE",
  "state": "relaxed",
  "e_form_ev_per_atom": 0.113,
  "space_group": "P4/mmm (123)",
  "total_magnetization_mub_per_cell": 0.00,
  "volume_a3_per_atom": 28.218,
  "cell": [[-0.684, 0.831, -5.011], [-0.679, -5.026, -0.741], [-5.274, 0.592, 0.818]],
  "species": ["Rb", "Ag", "In", "In", "Cu"],
  "fractional_positions": [[0.500, 0.500, 0.500], [0.000, 0.000, 0.500], [0.000, 0.500, 0.000], [0.500, 0.000, 0.000], [0.000, 0.000, 0.000]]
}

(2)
{
  "formula": "In2CuAg7Sb2",
  "functional": "PBE",
  "state": "relaxed",
  "raw_formation_energy_ev_per_atom": 0.109,
  "space_group": "C2/m (12)",
  "total_magnetization_mub_per_cell": 0.00,
  "volume_a3_per_atom": 21.076,
  "cell": [[4.018, -0.004, 0.035], [0.000, 4.018, 0.035], [1.984, 1.982, 15.701]],
  "species": ["Ag", "Ag", "Ag", "Ag", "Ag", "Ag", "Ag", "In", "In", "Sb", "Sb", "Cu"],
  "fractional_positions": [[0.730, 0.730, 0.542], [0.931, 0.431, 0.131], [0.569, 0.069, 0.869], [0.431, 0.931, 0.131], [0.069, 0.569, 0.869], [0.500, 0.500, 0.000], [0.270, 0.270, 0.458], [0.358, 0.358, 0.273], [0.642, 0.642, 0.727], [0.187, 0.187, 0.637], [0.813, 0.813, 0.363], [0.000, 0.000, 0.000]]
}

(3)
{
  "formula": "InCuAgSb2",
  "functional": "PBE",
  "state": "relaxed",
  "raw_formation_energy_ev_per_atom": 0.337,
  "space_group": "P4/mmm (123)",
  "total_magnetization_mub_per_cell": 0.00,
  "volume_a3_per_atom": 26.044,
  "cell": [[5.101, 0.000, 0.000], [0.000, 5.005, 0.000], [0.000, 0.000, 5.101]],
  "species": ["Sb", "Sb", "Ag", "In", "Cu"],
  "fractional_positions": [[0.500, 0.000, 0.000], [0.000, 0.000, 0.500], [0.000, 0.500, 0.000], [0.500, 0.500, 0.500], [0.000, 0.000, 0.000]]
}

(4)
{
  "formula": "InCuAg2Se4",
  "functional": "PBE",
  "state": "relaxed",
  "raw_formation_energy_ev_per_atom": -0.166,
  "space_group": "I-42m (121)",
  "total_magnetization_mub_per_cell": 0.00,
  "volume_a3_per_atom": 23.782,
  "cell": [[-5.070, -3.509, -1.167], [4.988, -3.682, 0.973], [-1.030, 3.473, 5.125]],
  "species": ["Se", "Se", "Se", "Se", "Cu", "Ag", "Ag", "In"],
  "fractional_positions": [[0.946, 0.946, 0.349], [0.054, 0.403, 0.000], [0.403, 0.054, 0.000], [0.597, 0.597, 0.651], [0.000, 0.000, 0.000], [0.250, 0.750, 0.500], [0.750, 0.250, 0.500], [0.500, 0.500, 0.000]]
}

(5)
{
  "formula": "In2CuAgSe4",
  "functional": "PBE",
  "state": "relaxed",
  "raw_formation_energy_ev_per_atom": -0.428,
  "space_group": "I-4 (82)",
  "total_magnetization_mub_per_cell": 0.00,
  "volume_a3_per_atom": 27.190,
  "cell": [[7.369, 0.055, 0.000], [2.412, 6.963, 0.000], [-4.890, -3.509, 4.251]],
  "species": ["Se", "Se", "Se", "Se", "Ag", "In", "In", "Cu"],
  "fractional_positions": [[0.648, 0.646, 0.530], [0.882, 0.352, 0.998], [0.116, 0.118, 0.470], [0.354, 0.884, 0.002], [0.250, 0.750, 0.500], [0.500, 0.500, 0.000], [0.750, 0.250, 0.500], [0.000, 0.000, 0.000]]
}

(6)
{
  "formula": "In2CuAgSe4",
  "functional": "PBE",
  "state": "relaxed",
  "raw_formation_energy_ev_per_atom": -0.427,
  "space_group": "Fmm2 (42)",
  "total_magnetization_mub_per_cell": 0.00,
  "volume_a3_per_atom": 27.161,
  "cell": [[-4.742, 0.402, 3.694], [1.239, -5.475, 2.188], [5.232, 5.003, 1.259]],
  "species": ["Se", "Se", "Se", "Se", "In", "In", "Cu", "Ag"],
  "fractional_positions": [[0.383, 0.851, 0.234], [0.149, 0.149, 0.766], [0.617, 0.617, 0.766], [0.851, 0.383, 0.234], [0.250, 0.750, 0.500], [0.750, 0.250, 0.500], [0.501, 0.501, 0.001], [0.999, 0.999, 0.999]]
}

(7)
{
  "formula": "InCuAgSn",
  "functional": "PBE",
  "state": "relaxed",
  "e_form_ev_per_atom": 0.148,
  "space_group": "F-43m (216)",
  "total_magnetization_mub_per_cell": 0.00,
  "volume_a3_per_atom": 20.575,
  "cell": [[4.882, 0.000, 0.000], [2.441, 4.228, 0.000], [2.441, 1.409, 3.986]],
  "species": ["Ag", "Sn", "Cu", "In"],
  "fractional_positions": [[0.000, 0.000, 0.000], [0.250, 0.250, 0.250], [0.500, 0.500, 0.500], [0.750, 0.750, 0.750]]
}

(8)
{
  "formula": "Sr2InCuAg6",
  "functional": "PBE",
  "state": "relaxed",
  "e_form_ev_per_atom": 0.030,
  "space_group": "Fm-3m (225)",
  "total_magnetization_mub_per_cell": 0.00,
  "volume_a3_per_atom": 26.798,
  "cell": [[7.237, 0.000, 0.000], [0.000, 7.237, 0.000], [3.619, 3.618, 5.117]],
  "species": ["Cu", "Ag", "Ag", "Ag", "Ag", "Ag", "Ag", "Sr", "Sr", "In"],
  "fractional_positions": [[0.500, 0.500, 0.000], [0.261, 0.261, 0.478], [0.739, 0.739, 0.000], [0.739, 0.261, 0.000], [0.739, 0.739, 0.522], [0.261, 0.261, 0.000], [0.261, 0.739, 0.000], [0.250, 0.750, 0.500], [0.750, 0.250, 0.500], [0.000, 0.000, 0.000]]
}

(9)
{
  "formula": "Sr2InCuAg",
  "functional": "PBE",
  "state": "relaxed",
  "e_form_ev_per_atom": -0.013,
  "space_group": "P4/mmm (123)",
  "total_magnetization_mub_per_cell": 0.00,
  "volume_a3_per_atom": 32.677,
  "cell": [[5.783, 0.000, 0.000], [0.000, 4.885, 0.000], [0.000, 0.000, 5.783]],
  "species": ["Sr", "Sr", "Cu", "In", "Ag"],
  "fractional_positions": [[0.500, 0.000, 0.000], [0.000, 0.000, 0.500], [0.000, 0.000, 0.000], [0.500, 0.500, 0.500], [0.000, 0.500, 0.000]]
}

(10)
{
  "formula": "In2CuAgTe4",
  "functional": "PBE",
  "state": "relaxed",
  "raw_formation_energy_ev_per_atom": -0.277,
  "space_group": "I-4 (82)",
  "total_magnetization_mub_per_cell": 0.00,
  "volume_a3_per_atom": 33.149,
  "cell": [[-2.259, 5.556, 5.113], [1.054, 7.133, -3.183], [-3.599, -6.484, -2.669]],
  "species": ["Te", "Te", "Te", "Te", "In", "In", "Ag", "Cu"],
  "fractional_positions": [[0.890, 0.356, 0.007], [0.349, 0.883, 0.993], [0.117, 0.110, 0.466], [0.644, 0.651, 0.534], [0.750, 0.250, 0.500], [0.500, 0.500, 0.000], [0.250, 0.750, 0.500], [0.000, 0.000, 0.000]]
}

(11)
{
  "formula": "In2CuAgTe4",
  "functional": "PBE",
  "state": "relaxed",
  "raw_formation_energy_ev_per_atom": -0.275,
  "space_group": "I-42m (121)",
  "total_magnetization_mub_per_cell": 0.00,
  "volume_a3_per_atom": 33.134,
  "cell": [[6.441, 0.267, 0.000], [-0.268, 6.441, 0.000], [-3.086, -3.354, 6.378]],
  "species": ["Te", "Te", "Te", "Te", "Cu", "In", "In", "Ag"],
  "fractional_positions": [[0.149, 0.149, 0.772], [0.623, 0.623, 0.772], [0.377, 0.851, 0.228], [0.851, 0.377, 0.228], [0.500, 0.500, 0.000], [0.750, 0.250, 0.500], [0.250, 0.750, 0.500], [0.000, 0.000, 0.000]]
}

(12)
{
  "formula": "TiInCuAg",
  "functional": "PBE",
  "state": "relaxed",
  "e_form_ev_per_atom": -0.010,
  "space_group": "F-43m (216)",
  "total_magnetization_mub_per_cell": 0.00,
  "volume_a3_per_atom": 17.017,
  "cell": [[4.583, 0.000, 0.000], [2.292, 3.969, 0.000], [2.292, 1.323, 3.742]],
  "species": ["Ag", "In", "Ti", "Cu"],
  "fractional_positions": [[0.500, 0.500, 0.500], [0.750, 0.750, 0.750], [0.250, 0.250, 0.250], [0.000, 0.000, 0.000]]
}

(13)
{
  "formula": "TlInCu2Ag",
  "functional": "PBE",
  "state": "relaxed",
  "e_form_ev_per_atom": 0.795,
  "space_group": "P4/mmm (123)",
  "total_magnetization_mub_per_cell": 0.00,
  "volume_a3_per_atom": 27.428,
  "cell": [[-2.443, 4.174, -0.819], [-4.896, -2.608, 1.310], [0.584, 1.265, 4.703]],
  "species": ["Cu", "Cu", "Tl", "Ag", "In"],
  "fractional_positions": [[0.000, 0.000, 0.500], [0.500, 0.000, 0.000], [0.000, 0.500, 0.000], [0.500, 0.500, 0.500], [0.000, 0.000, 0.000]]
}

(14)
{
  "formula": "InCu2AgW",
  "functional": "PBE",
  "state": "relaxed",
  "e_form_ev_per_atom": 1.439,
  "space_group": "P4/mmm (123)",
  "total_magnetization_mub_per_cell": 0.00,
  "volume_a3_per_atom": 23.536,
  "cell": [[-2.545, 3.995, 0.363], [-3.520, -1.940, -3.322], [-2.410, -1.866, 3.644]],
  "species": ["Cu", "Cu", "In", "W", "Ag"],
  "fractional_positions": [[0.000, 0.000, 0.500], [0.500, 0.000, 0.000], [0.500, 0.500, 0.500], [0.000, 0.000, 0.000], [0.000, 0.500, 0.000]]
}

(15)
{
  "formula": "CuAgIr2",
  "functional": "PBE",
  "state": "relaxed",
  "polymorph_energy_mev_per_atom": 171,
  "e_form_ev_per_atom": 0.324,
  "space_group": "Cmmm (65)",
  "total_magnetization_mub_per_cell": 0.00,
  "volume_a3_per_atom": 14.971,
  "cell": [[2.708, 0.008, 0.000], [-1.314, 2.368, 0.000], [0.000, 0.000, 9.323]],
  "species": ["Ir", "Ir", "Cu", "Ag"],
  "fractional_positions": [[0.000, 0.000, 0.983], [0.000, 0.000, 0.517], [0.500, 0.500, 0.750], [0.500, 0.500, 0.250]]
}

(16)
{
  "formula": "Cu2AgIr",
  "functional": "PBE",
  "state": "relaxed",
  "polymorph_energy_mev_per_atom": 15,
  "e_form_ev_per_atom": 0.166,
  "space_group": "P4/mmm (123)",
  "total_magnetization_mub_per_cell": 0.00,
  "volume_a3_per_atom": 14.150,
  "cell": [[-1.119, 1.280, 2.168], [2.142, -0.762, 1.556], [3.579, 6.273, -1.856]],
  "species": ["Cu", "Cu", "Ir", "Ag"],
  "fractional_positions": [[0.000, 0.000, 0.763], [0.000, 0.000, 0.237], [0.500, 0.500, 0.000], [0.500, 0.500, 0.500]]
}

(17)
{
  "formula": "Cu2AgIr",
  "functional": "PBE",
  "state": "relaxed",
  "polymorph_energy_mev_per_atom": 105,
  "e_form_ev_per_atom": 0.256,
  "space_group": "Pmm2 (25)",
  "total_magnetization_mub_per_cell": 0.00,
  "volume_a3_per_atom": 14.237,
  "cell": [[-0.244, -1.930, -1.772], [-1.742, -2.284, 2.728], [-4.880, 1.967, -1.469]],
  "species": ["Ag", "Ir", "Cu", "Cu"],
  "fractional_positions": [[0.500, 0.500, 0.763], [0.000, 0.000, 0.476], [0.500, 0.500, 0.255], [0.000, 0.000, 0.006]]
}

(18)
{
  "formula": "CuAgIr2",
  "functional": "PBE",
  "state": "relaxed",
  "polymorph_energy_mev_per_atom": 313,
  "e_form_ev_per_atom": 0.465,
  "space_group": "Pmmm (47)",
  "total_magnetization_mub_per_cell": 0.91,
  "volume_a3_per_atom": 14.925,
  "cell": [[-0.773, -0.008, 2.573], [-2.758, -2.819, -0.838], [3.694, -3.939, 1.098]],
  "species": ["Ag", "Ir", "Ir", "Cu"],
  "fractional_positions": [[0.500, 0.500, 0.250], [0.000, 0.000, 0.520], [0.000, 0.000, 0.980], [0.500, 0.500, 0.750]]
}

(19)
{
  "formula": "CuAgIr2",
  "functional": "PBE",
  "state": "relaxed",
  "polymorph_energy_mev_per_atom": 325,
  "e_form_ev_per_atom": 0.477,
  "space_group": "Cmmm (65)",
  "total_magnetization_mub_per_cell": 0.03,
  "volume_a3_per_atom": 14.883,
  "cell": [[4.912, 0.017, 0.000], [-2.068, 4.456, 0.000], [0.000, 0.000, 2.716]],
  "species": ["Ir", "Ir", "Ag", "Cu"],
  "fractional_positions": [[0.000, 0.000, 0.000], [0.500, 0.500, 0.000], [0.500, 0.000, 0.500], [0.000, 0.500, 0.500]]
}

(20)
{
  "formula": "Cu2AgIr",
  "functional": "PBE",
  "state": "relaxed",
  "polymorph_energy_mev_per_atom": 161,
  "e_form_ev_per_atom": 0.312,
  "space_group": "Immm (71)",
  "total_magnetization_mub_per_cell": 0.00,
  "volume_a3_per_atom": 14.501,
  "cell": [[5.263, 0.009, 0.006], [2.436, 4.665, -0.006], [-3.151, -3.488, 2.368]],
  "species": ["Ag", "Cu", "Cu", "Ir"],
  "fractional_positions": [[0.250, 0.750, 0.500], [0.993, 0.993, 0.000], [0.507, 0.507, 0.000], [0.750, 0.250, 0.500]]
}

Number 1: total energy -2.565 eV/atom. Number 2: total energy -3.039 eV/atom. Number 3: total energy -3.249 eV/atom. Number 4: total energy -3.475 eV/atom. Number 5: total energy -3.723 eV/atom. Number 6: total energy -3.722 eV/atom. Number 7: total energy -3.274 eV/atom. Number 8: total energy -2.701 eV/atom. Number 9: total energy -2.623 eV/atom. Number 10: total energy -3.401 eV/atom. Number 11: total energy -3.399 eV/atom. Number 12: total energy -4.406 eV/atom. Number 13: total energy -2.435 eV/atom. Number 14: total energy -3.908 eV/atom. Number 15: total energy -5.844 eV/atom. Number 16: total energy -4.810 eV/atom. Number 17: total energy -4.720 eV/atom. Number 18: total energy -5.702 eV/atom. Number 19: total energy -5.690 eV/atom. Number 20: total energy -4.664 eV/atom.